NaTiHg2Ge | PBE-GGA | optimized geometry

Output
The calculation puts the formation energy at 0.38 eV per atom. As for the density of states at the Fermi level: 0.971 states/eV per atom. As for the space group: P4/mmm (123). For the uncorrected energy, the calculation gives -2.510 eV per atom. As for the total magnetization: 0.0 μB/cell.

Unit cell a=5.2786 b=4.9082 c=5.2786 alpha=90.00 beta=90.00 gamma=90.00
Last column: nearest neighbours and their distance in Å.
Sites, in units of the cell vectors:
1 Hg 0.5000 0.0000 0.0000  2 Ge 2.64
2 Hg 0.0000 0.0000 0.5000  2 Ge 2.64
3 Ti 0.0000 0.5000 0.0000  2 Ge 2.45
4 Ge 0.0000 0.0000 0.0000  2 Ti 2.45, 4 Hg 2.64
5 Na 0.5000 0.5000 0.5000  8 Hg 3.60, 4 Ti 3.73